(1)
LiY2Ta at its PBEsol-relaxed geometry, computed with SCAN.

Computed properties:
The value obtained for the formation energy is 998 meV per atom. For the energy above the most stable polymorph in this dataset, the calculation gives 0.6268 eV/atom.

Cell lengths 4.336, 4.336, 10.446 Å; angles 101.98, 101.98, 90.00 degrees
Positions (direct):
Y: 0.125 0.125 0.750
Y: 0.875 0.375 0.250
Y: 0.375 0.875 0.250
Y: 0.625 0.625 0.750
Ta: 0.250 0.750 0.500
Ta: 0.000 0.000 0.000
Li: 0.500 0.500 0.000
Li: 0.750 0.250 0.500


(2)
NaP2AuO at its PBEsol-relaxed geometry, computed with SCAN.

Computed properties:
As for the raw formation energy: 1.285 eV per atom.

Cell lengths 3.815, 4.791, 4.791 Å; angles 90.00, 90.00, 90.00 degrees
Positions (direct):
P: 0.000 0.500 0.000
P: 0.000 0.000 0.500
Na: 0.000 0.000 0.000
Au: 0.500 0.500 0.500
O: 0.500 0.000 0.000


(3)
Ni2BMoO at its PBEsol-relaxed geometry, computed with SCAN.

Computed properties:
As for the raw formation energy: 0.240 eV per atom.

Cell lengths 3.580, 3.580, 4.094 Å; angles 90.00, 90.00, 90.00 degrees
Positions (direct):
Ni: 0.000 0.500 0.000
Ni: 0.500 0.000 0.000
O: 0.000 0.000 0.000
Mo: 0.000 0.000 0.500
B: 0.500 0.500 0.500


(4)
MnCdOs2 at its PBEsol-relaxed geometry, computed with SCAN.

Computed properties:
The value obtained for the formation energy is 252 meV per atom.

Cell lengths 2.712, 2.712, 9.089 Å; angles 81.42, 81.42, 60.00 degrees
Positions (direct):
Os: 0.260 0.260 0.220
Os: 0.740 0.740 0.780
Mn: 0.000 0.000 0.000
Cd: 0.500 0.500 0.500


(5)
RbCd3Ni at its PBEsol-relaxed geometry, computed with SCAN.

Computed properties:
The value obtained for the formation energy is 3 meV per atom.

Cell lengths 5.052, 5.052, 5.052 Å; angles 90.00, 90.00, 90.00 degrees
Positions (direct):
Rb: 0.500 0.500 0.500
Cd: 0.500 0.000 0.000
Cd: 0.000 0.500 0.000
Cd: 0.000 0.000 0.500
Ni: 0.000 0.000 0.000


(6)
Li2NiP4O12 at its PBEsol-relaxed geometry, computed with SCAN.

Computed properties:
For the energy above the most stable polymorph in this dataset, the calculation gives 0.0350 eV/atom. As for the raw formation energy: -2.324 eV per atom.

Cell lengths 7.315, 7.575, 8.743 Å; angles 90.00, 90.00, 110.73 degrees
Positions (direct):
P: 0.693 0.206 0.089
P: 0.193 0.706 0.411
P: 0.807 0.294 0.589
P: 0.838 0.601 0.195
P: 0.307 0.794 0.911
P: 0.662 0.899 0.695
P: 0.338 0.101 0.305
P: 0.162 0.399 0.805
O: 0.457 0.817 0.776
O: 0.043 0.683 0.276
O: 0.666 0.575 0.299
O: 0.834 0.925 0.799
O: 0.104 0.716 0.562
O: 0.708 0.435 0.616
O: 0.648 0.091 0.632
O: 0.543 0.183 0.224
O: 0.396 0.784 0.062
O: 0.957 0.317 0.724
O: 0.352 0.909 0.368
O: 0.604 0.216 0.938
O: 0.159 0.269 0.936
O: 0.292 0.565 0.384
O: 0.334 0.425 0.701
O: 0.148 0.591 0.868
O: 0.852 0.409 0.132
O: 0.896 0.284 0.438
O: 0.208 0.935 0.884
O: 0.841 0.731 0.064
O: 0.792 0.065 0.116
O: 0.659 0.769 0.564
O: 0.166 0.075 0.201
O: 0.341 0.231 0.436
Li: 0.117 0.298 0.331
Li: 0.883 0.702 0.669
Li: 0.383 0.202 0.831
Li: 0.617 0.798 0.169
Ni: 0.000 0.000 0.000
Ni: 0.500 0.500 0.500


no.,N(E_F) (states/eV/atom)
1,0.739
2,0.714
3,0.541
4,0.712
5,0.365
6,0.000